--- w ---
Entry from Alexandria via LeMat-Bulk: an optimized crystal structure of CaTa (PBE-GGA).

Lattice parameters (Å, degrees): 3.650 3.650 3.650 90.00 90.00 90.00
Element x y z (fractional)
Ca  0.000  0.000  0.000
Ta  0.500  0.500  0.500

---

--- x ---
Entry from Alexandria via LeMat-Bulk: an optimized crystal structure of CaTa (PBE-GGA).

Lattice parameters (Å, degrees): 7.317 7.317 7.317 90.00 90.00 90.00
Last column: magnetic moment on the atom in μB.
Element x y z (fractional)
Ca  0.250  0.250  0.250  0.31
Ca  0.250  0.750  0.750  0.31
Ca  0.750  0.250  0.750  0.31
Ca  0.750  0.750  0.250  0.31
Ta  0.000  0.000  0.000  2.47
Ta  0.000  0.500  0.500  2.47
Ta  0.500  0.000  0.500  2.47
Ta  0.500  0.500  0.000  2.47

---

Energies relative to the most stable structure, in kJ/mol of atoms: w 0.0; x 162.5.

---

--- w ---
Entry from Alexandria via LeMat-Bulk: an optimized crystal structure of Al2TlSe (PBE-GGA).

Lattice parameters (Å, degrees): 5.845 5.845 5.845 145.50 124.15 67.33
Element x y z (fractional)
Tl  0.250  0.750  0.500
Al  0.963  0.963  0.000
Al  0.537  0.537  0.000
Se  0.750  0.250  0.500

---

--- x ---
Entry from Alexandria via LeMat-Bulk: an optimized crystal structure of Al2TlSe (PBE-GGA).

Lattice parameters (Å, degrees): 9.147 9.147 9.147 22.42 22.42 22.42
Element x y z (fractional)
Tl  0.746  0.746  0.746
Al  0.987  0.987  0.987
Al  0.242  0.242  0.242
Se  0.525  0.525  0.525

---

Energies relative to the most stable structure, in kJ/mol of atoms: w 16.4; x 0.0.